A geometry-optimized RbCa2Y structure, computed with PBE-GGA.

abc: 3.876 3.876 42.373
angles: 90.00 90.00 120.00
Atoms (fractional coordinates):
Rb 0.000 0.000 0.000
Rb 0.333 0.667 0.667
Rb 0.667 0.333 0.333
Ca 0.000 0.000 0.096
Ca 0.000 0.000 0.904
Ca 0.333 0.667 0.570
Ca 0.333 0.667 0.763
Ca 0.667 0.333 0.237
Ca 0.667 0.333 0.430
Y 0.000 0.000 0.500
Y 0.333 0.667 0.167
Y 0.667 0.333 0.833

Computed properties:
Mass density ... 2.30 g cm⁻³
Energy of formation from the pure elements ... 0.238 eV/atom
E above lowest polymorph ... 0.000 eV/atom
DOS at the Fermi energy ... 18.47 states/eV/cell
Crystal system ... trigonal